1.
# Ce2DyErSe5

Crystalline Ce2DyErSe5 at its relaxed geometry (PBE, Alexandria).

a = 5.1078 Å, b = 5.1078 Å, c = 10.7434 Å
α = 90.00°, β = 90.00°, γ = 90.00°
Closest atoms and distances in Å follow each position.
Fractional coordinates of all 9 atoms:
Ce: 0.0000 0.0000 0.1982  5 Se 3.24-3.33
Ce: 0.0000 0.0000 0.8018  5 Se 3.24-3.33
Dy: 0.5000 0.5000 0.5000  2 Se 2.63
Er: 0.5000 0.5000 0.0000  6 Se 2.55-2.74
Se: 0.0000 0.0000 0.5000  2 Ce 3.24, 4 Dy 3.61
Se: 0.0000 0.5000 0.0000  2 Er 2.55
Se: 0.5000 0.0000 0.0000  2 Er 2.55
Se: 0.5000 0.5000 0.2548  1 Dy 2.63, 1 Er 2.74
Se: 0.5000 0.5000 0.7452  1 Dy 2.63, 1 Er 2.74

## Properties
- Space-group type: P4/mmm (123)
- Formation energy without anion corrections: -1.31 eV/atom
- Total DFT energy (no corrections): -5.5844 eV per atom

---

2.
# Ac2HfRh3O12

Crystalline Ac2HfRh3O12 at its relaxed geometry (PBE, Alexandria).

a = 6.8298 Å, b = 6.8298 Å, c = 6.8298 Å
α = 62.67°, β = 62.67°, γ = 62.67°
Closest atoms and distances in Å follow each position.
Fractional coordinates of all 18 atoms:
Ac: 0.1176 0.1176 0.1176  3 O 2.55
Ac: 0.8824 0.8824 0.8824  3 O 2.55
Hf: 0.5000 0.5000 0.5000  6 O 2.19
Rh: 0.0000 0.5000 0.5000  6 O 1.94-2.00
Rh: 0.5000 0.0000 0.5000  6 O 1.94-2.00
Rh: 0.5000 0.5000 0.0000  6 O 1.94-2.00
O: 0.1200 0.6231 0.6231  1 Rh 2.00, 1 Hf 2.19
O: 0.1939 0.1939 0.6305  2 Rh 1.94
O: 0.1939 0.6305 0.1939  2 Rh 1.94
O: 0.3695 0.8061 0.8061  2 Rh 1.94
O: 0.3769 0.3769 0.8800  1 Rh 2.00, 1 Hf 2.19
O: 0.3769 0.8800 0.3769  1 Rh 2.00, 1 Hf 2.19
O: 0.6231 0.1200 0.6231  1 Rh 2.00, 1 Hf 2.19
O: 0.6231 0.6231 0.1200  1 Rh 2.00, 1 Hf 2.19
O: 0.6305 0.1939 0.1939  2 Rh 1.94
O: 0.8061 0.3695 0.8061  2 Rh 1.94
O: 0.8061 0.8061 0.3695  2 Rh 1.94
O: 0.8800 0.3769 0.3769  1 Rh 2.00, 1 Hf 2.19

## Properties
- Space-group type: R-3m (166)
- Formation energy without anion corrections: -1.67 eV/atom
- Total DFT energy (no corrections): -7.2075 eV per atom

---

3.
# YCo2Cu

Crystalline YCo2Cu at its relaxed geometry (PBE, Alexandria).

a = 3.2227 Å, b = 3.2227 Å, c = 5.9818 Å
α = 90.00°, β = 90.00°, γ = 90.00°
Closest atoms and distances in Å follow each position.
Fractional coordinates of all 4 atoms:
Y: 0.0000 0.0000 0.0000  8 Co 2.94, 2 Cu 2.99, 4 Y 3.22
Co: 0.5000 0.5000 0.3092  1 Co 2.28, 4 Cu 2.55
Co: 0.5000 0.5000 0.6908  1 Co 2.28, 4 Cu 2.55
Cu: 0.0000 0.0000 0.5000  8 Co 2.55

## Properties
- Space-group type: P4/mmm (123)
- Calculated formation energy: 3.8 kcal/mol of atoms
- Excess energy over the best structure of this formula in the dataset: 271.3 meV per atom
- Total DFT energy (no corrections): -6.0287 eV per atom

---

4.
# InCuAs2

Crystalline InCuAs2 at its relaxed geometry (PBE, Alexandria).

a = 3.4332 Å, b = 3.4332 Å, c = 6.8190 Å
α = 90.00°, β = 90.00°, γ = 90.00°
Closest atoms and distances in Å follow each position.
Fractional coordinates of all 4 atoms:
In: 0.0000 0.0000 0.0000  4 Cu 2.94, 1 As 3.10
Cu: 0.5000 0.5000 0.7580  5 As 2.59-2.83
As: 0.0000 0.0000 0.5458  4 As 2.68, 4 Cu 2.83
As: 0.5000 0.5000 0.3777  1 Cu 2.59, 4 As 2.68

## Properties
- Space-group type: P4mm (99)
- Calculated formation energy: 5.2 kcal/mol of atoms
- Total DFT energy (no corrections): -3.8065 eV per atom